First-principles (GGA-PBEsol) data for crystalline NbTl3Zn at its relaxed geometry, as listed in the Alexandria database.

a b c (Å): 5.086 5.086 5.086
angles (deg): 90.00 90.00 90.00
Site moments in Bohr magnetons follow the coordinates.
Positions (direct):
Tl1 0.000 0.500 0.000  0.00
Tl2 0.500 0.000 0.000  0.00
Tl3 0.000 0.000 0.500  0.00
Zn1 0.000 0.000 0.000  0.00
Nb1 0.500 0.500 0.500  2.39

- magnetization (μB per formula unit) = 3.03
- ΔH_f (0 K) (eV per atom) = 1.056
- crystal system = cubic
- final energy (eV/atom) = -3.003



First-principles (GGA-PBEsol) data for crystalline LaTaO2F at its relaxed geometry, as listed in the Alexandria database.

a b c (Å): 4.047 4.047 4.171
angles (deg): 90.00 90.00 90.00
Positions (direct):
O1 0.000 0.500 0.000
Ta1 0.000 0.000 0.000
F1 0.000 0.000 0.500
La1 0.500 0.500 0.500
O2 0.500 0.000 0.000

- magnetization (μB per formula unit) = 0.00
- energy relative to the elements, uncorrected (eV/f.u.) = -11.6
- crystal system = tetragonal
- final energy (eV/atom) = -8.389



First-principles (GGA-PBEsol) data for crystalline CaIrNO2 at its relaxed geometry, as listed in the Alexandria database.

a b c (Å): 4.070 4.070 4.418
angles (deg): 90.00 90.00 90.00
Site moments in Bohr magnetons follow the coordinates.
Positions (direct):
N1 0.000 0.000 0.500  0.94
O1 0.000 0.500 0.000  0.75
Ca1 0.000 0.000 0.000  0.07
Ir1 0.500 0.500 0.500  2.06
O2 0.500 0.000 0.000  0.75

- magnetization (μB per formula unit) = 5.23
- energy relative to the elements, uncorrected (eV/f.u.) = 6.6
- crystal system = tetragonal
- final energy (eV/atom) = -4.867



First-principles (GGA-PBEsol) data for crystalline Zr2CrHg at its relaxed geometry, as listed in the Alexandria database.

a b c (Å): 3.172 4.882 5.708
angles (deg): 115.32 106.13 90.00
Site moments in Bohr magnetons follow the coordinates.
Positions (direct):
Hg1 0.774 0.274 0.548  0.01
Cr1 0.502 0.502 0.003  2.09
Zr1 0.223 0.723 0.445  -0.18
Zr2 0.002 0.002 0.003  -0.15

- magnetization (μB per formula unit) = 1.81
- ΔH_f (0 K) (eV per atom) = 0.133
- energy above the lowest structure with this stoichiometry (meV/atom) = 59.3
- crystal system = orthorhombic
- final energy (eV/atom) = -7.114



> Which value of final energy does entry 1 give?

-3.003 eV/atom



> Which value of magnetization does entry 1 give?

3.03 μB per formula unit



> The highest magnetization belongs to which entry?

CaIrNO2



> What is the final energy in the first record?

-3.003 eV/atom